1.
LaTmNO | PBE | relaxed

Calculated values
V = 19.1 Å³ per atom
DFT total energy = -0.2862 Ha/atom

a = 3.934 Å, b = 6.814 Å, c = 5.700 Å
α = 90.00°, β = 90.00°, γ = 90.00°
Atoms (fractional coordinates):
La 0.000 0.154 0.000
La 0.000 0.846 0.500
Tm 0.500 0.326 0.516
Tm 0.500 0.674 0.016
N 0.000 0.196 0.428
N 0.000 0.804 0.928
O 0.500 0.371 0.896
O 0.500 0.629 0.396

---

2.
HfBeFeGe | PBE | relaxed

Calculated values
V = 13.6 Å³ per atom
DFT total energy = -0.2452 Ha/atom

a = 4.251 Å, b = 4.251 Å, c = 4.251 Å
α = 60.00°, β = 60.00°, γ = 60.00°
Atoms (fractional coordinates):
Hf 0.000 0.000 0.000
Be 0.750 0.750 0.750
Fe 0.500 0.500 0.500
Ge 0.250 0.250 0.250

---

3.
KThU | PBE | relaxed

Calculated values
V = 39.3 Å³ per atom
DFT total energy = -0.1722 Ha/atom

a = 5.502 Å, b = 5.502 Å, c = 5.502 Å
α = 60.00°, β = 60.00°, γ = 60.00°
Atoms (fractional coordinates):
K 0.000 0.000 0.000
Th 0.500 0.500 0.500
U 0.250 0.250 0.250

---

4.
YTm2Al3Ni3 | PBE | relaxed

Calculated values
V = 17.7 Å³ per atom
DFT total energy = -0.1999 Ha/atom

a = 3.919 Å, b = 6.863 Å, c = 6.863 Å
α = 120.21°, β = 90.00°, γ = 90.00°
Atoms (fractional coordinates):
Y 0.000 0.000 0.000
Tm 0.000 0.416 0.832
Tm 0.000 0.832 0.416
Al 0.500 0.180 0.418
Al 0.500 0.418 0.180
Al 0.500 0.654 0.654
Ni 0.000 0.421 0.421
Ni 0.500 0.086 0.746
Ni 0.500 0.746 0.086

---

5.
TaCdCoB | PBE | relaxed

Calculated values
V = 13.8 Å³ per atom
DFT total energy = -0.2131 Ha/atom

a = 4.273 Å, b = 4.273 Å, c = 4.273 Å
α = 60.00°, β = 60.00°, γ = 60.00°
Atoms (fractional coordinates):
Ta 0.000 0.000 0.000
Cd 0.750 0.750 0.750
Co 0.500 0.500 0.500
B 0.250 0.250 0.250

---

6.
ZrTlAuS3 | PBE | relaxed

Calculated values
V = 24.1 Å³ per atom
DFT total energy = -0.1917 Ha/atom

a = 11.370 Å, b = 3.858 Å, c = 13.169 Å
α = 90.00°, β = 90.00°, γ = 90.00°
Atoms (fractional coordinates):
Zr 0.056 0.250 0.144
Zr 0.444 0.750 0.644
Zr 0.556 0.250 0.356
Zr 0.944 0.750 0.856
Tl 0.129 0.250 0.518
Tl 0.371 0.750 0.018
Tl 0.629 0.250 0.982
Tl 0.871 0.750 0.482
Au 0.236 0.750 0.351
Au 0.264 0.250 0.851
Au 0.736 0.750 0.149
Au 0.764 0.250 0.649
S 0.045 0.750 0.278
S 0.083 0.250 0.935
S 0.237 0.750 0.648
S 0.263 0.250 0.148
S 0.417 0.750 0.435
S 0.455 0.250 0.778
S 0.545 0.750 0.222
S 0.583 0.250 0.565
S 0.737 0.750 0.852
S 0.763 0.250 0.352
S 0.917 0.750 0.065
S 0.955 0.250 0.722